1.
A plane-wave DFT calculation with PBE-GGA was carried out for a relaxed structure of ZrBeRu2.

```
ZrBeRu2
1.0
4.2112 0.0000 0.0000
0.0000 4.2112 0.0000
0.0000 0.0000 3.3013
Zr Be Ru
1 1 2
direct
0.0000 0.0000 0.0000
0.5000 0.5000 0.0000
0.0000 0.5000 0.5000
0.5000 0.0000 0.5000
```

Summary:
Its calculated formation energy is -0.9 eV per formula unit.

2.
A plane-wave DFT calculation with PBE-GGA was carried out for a relaxed structure of ZrBe2Ru2.

```
ZrBe2Ru2
1.0
6.5036 0.0000 0.0000
0.0000 6.5036 0.0000
0.0000 0.0000 3.0590
Zr Be Ru
2 4 4
direct
0.0000 0.0000 0.0000
0.5000 0.5000 0.0000
0.1152 0.3848 0.0000
0.3848 0.8848 0.0000
0.6152 0.1152 0.0000
0.8848 0.6152 0.0000
0.1680 0.6680 0.5000
0.3320 0.1680 0.5000
0.6680 0.8320 0.5000
0.8320 0.3320 0.5000
```

Summary:
Its calculated formation energy is -2.2 eV per formula unit.

3.
A plane-wave DFT calculation with PBE-GGA was carried out for a relaxed structure of Zr2BeRu.

```
Zr2BeRu
1.0
-3.6306 3.6306 2.7843
3.6306 -3.6306 2.7843
3.6306 3.6306 -2.7843
Zr Be Ru
4 2 2
direct
0.1054 0.6250 0.9804
0.3750 0.3554 0.4804
0.6446 0.1250 0.0196
0.8750 0.8946 0.5196
0.2500 0.7500 0.5000
0.5000 0.5000 0.0000
0.0000 0.0000 0.0000
0.7500 0.2500 0.5000
```

Summary:
Its calculated formation energy is 1.0 eV per formula unit.

4.
A plane-wave DFT calculation with PBE-GGA was carried out for a relaxed structure of ZrBeRu.

```
ZrBeRu
1.0
1.8647 -4.6873 0.0000
1.8647 4.6873 0.0000
0.0000 0.0000 5.2844
Zr Be Ru
2 2 2
direct
0.2177 0.7823 0.7500
0.7823 0.2177 0.2500
0.5000 0.5000 0.0000
0.5000 0.5000 0.5000
0.0788 0.9212 0.2500
0.9212 0.0788 0.7500
```

Summary:
Its calculated formation energy is -1.2 eV per formula unit.

5.
A plane-wave DFT calculation with PBE-GGA was carried out for a relaxed structure of ZrBeRu.

```
ZrBeRu
1.0
3.3189 0.0000 0.0000
-1.6595 2.8743 0.0000
0.0000 0.0000 4.8826
Zr Be Ru
1 1 1
direct
0.0000 0.0000 0.0000
0.3333 0.6667 0.3719
0.6667 0.3333 0.5994
```

Summary:
Its calculated formation energy is -0.1 eV per formula unit.

6.
A plane-wave DFT calculation with PBE-GGA was carried out for a relaxed structure of ZrBeRu.

```
ZrBeRu
1.0
3.3573 0.0000 0.0000
0.0000 1.6120 8.0334
0.0000 -1.6120 8.0334
Zr Be Ru
2 2 2
direct
0.0000 0.0000 0.0000
0.0000 0.2023 0.2023
0.0000 0.8401 0.8401
0.5000 0.7712 0.7712
0.5000 0.3853 0.3853
0.5000 0.5980 0.5980
```

Summary:
Its calculated formation energy is -1.3 eV per formula unit.

7.
A plane-wave DFT calculation with PBE-GGA was carried out for a relaxed structure of ZrBeRu.

```
ZrBeRu
1.0
4.0095 0.0000 0.0000
-2.0048 3.4723 0.0000
0.0000 0.0000 3.3148
Zr Be Ru
1 1 1
direct
0.0000 0.0000 0.0000
0.6667 0.3333 0.5000
0.3333 0.6667 0.5000
```

Summary:
Its calculated formation energy is -0.9 eV per formula unit.

8.
A plane-wave DFT calculation with PBE-GGA was carried out for a relaxed structure of Zr2Be15Ru2.

```
Zr2Be15Ru2
1.0
3.8974 2.2502 3.7353
-3.8974 2.2502 3.7353
0.0000 -4.5003 3.7353
Zr Be Ru
2 15 2
direct
0.1539 0.1539 0.1539
0.8461 0.8461 0.8461
0.0000 0.5000 0.5000
0.1565 0.1565 0.6567
0.1565 0.6567 0.1565
0.2169 0.5000 0.7831
0.2169 0.7831 0.5000
0.3433 0.8435 0.8435
0.5000 0.0000 0.5000
0.5000 0.2169 0.7831
0.5000 0.5000 0.0000
0.5000 0.7831 0.2169
0.6567 0.1565 0.1565
0.7831 0.2169 0.5000
0.7831 0.5000 0.2169
0.8435 0.3433 0.8435
0.8435 0.8435 0.3433
0.3908 0.3908 0.3908
0.6092 0.6092 0.6092
```

Summary:
Its calculated formation energy is -4.8 eV per formula unit.

9.
A plane-wave DFT calculation with PBE-GGA was carried out for a relaxed structure of ZrBe4Ru.

```
ZrBe4Ru
1.0
0.0000 3.2242 3.2242
3.2242 0.0000 3.2242
3.2242 3.2242 0.0000
Zr Be Ru
1 4 1
direct
0.0000 0.0000 0.0000
0.1305 0.6232 0.6232
0.6232 0.1305 0.6232
0.6232 0.6232 0.1305
0.6232 0.6232 0.6232
0.2500 0.2500 0.2500
```

Summary:
Its calculated formation energy is -2.7 eV per formula unit.

10.
A plane-wave DFT calculation with PBE-GGA was carried out for a relaxed structure of ZrBeRu2.

```
ZrBeRu2
1.0
-1.5501 2.3832 3.9462
1.5501 -2.3832 3.9462
1.5501 2.3832 -3.9462
Zr Be Ru
1 1 2
direct
0.0000 0.0000 0.0000
0.5000 0.5000 0.0000
0.2803 0.7803 0.5000
0.7197 0.2197 0.5000
```

Summary:
Its calculated formation energy is -0.7 eV per formula unit.

11.
A plane-wave DFT calculation with PBE-GGA was carried out for a relaxed structure of ZrBeRu.

```
ZrBeRu
1.0
0.0000 2.8682 2.8682
2.8682 0.0000 2.8682
2.8682 2.8682 0.0000
Zr Be Ru
1 1 1
direct
0.0000 0.0000 0.0000
0.2500 0.2500 0.2500
0.5000 0.5000 0.5000
```

Summary:
Its calculated formation energy is -0.2 eV per formula unit.

12.
A plane-wave DFT calculation with PBE-GGA was carried out for a relaxed structure of ZrBeRu2.

```
ZrBeRu2
1.0
4.2161 -1.5329 0.0000
4.2161 1.5329 0.0000
-1.7148 0.0000 4.5526
Zr Be Ru
1 1 2
direct
0.0000 0.0000 0.0000
0.5000 0.5000 0.5000
0.2244 0.2244 0.7019
0.7756 0.7756 0.2981
```

Summary:
Its calculated formation energy is -0.9 eV per formula unit.